Compound: NbCl5
Source: the Open Quantum Materials Database
Functional: PBE
Structure: optimized geometry

The structure in POSCAR format:
```
NbCl5
1.0
9.258 -9.021 0.000
9.258 9.021 0.000
-0.081 0.000 5.941
Nb Cl
6 30
Direct
0.111 0.889 0.000
0.222 0.444 0.525
0.444 0.222 0.525
0.556 0.778 0.475
0.778 0.556 0.475
0.889 0.111 0.000
0.005 0.199 0.778
0.051 0.051 0.227
0.088 0.468 0.768
0.133 0.330 0.294
0.135 0.754 0.755
0.199 0.005 0.778
0.199 0.579 0.285
0.246 0.865 0.245
0.281 0.281 0.744
0.330 0.133 0.294
0.338 0.531 0.757
0.384 0.384 0.304
0.421 0.801 0.715
0.468 0.088 0.768
0.469 0.662 0.243
0.531 0.338 0.757
0.532 0.912 0.232
0.579 0.199 0.285
0.616 0.616 0.696
0.662 0.469 0.243
0.670 0.867 0.706
0.719 0.719 0.256
0.754 0.135 0.755
0.801 0.421 0.715
0.801 0.995 0.222
0.865 0.246 0.245
0.867 0.670 0.706
0.912 0.532 0.232
0.949 0.949 0.773
0.995 0.801 0.222
```

mass density	2.71	g cm⁻³
volume	27.57	Å³/atom
energy	-0.163	hartree per atom